First-principles (SCAN) data for MnZn2Co at its PBEsol-relaxed geometry, as listed in the Alexandria database.

Lattice parameters (Å, degrees): 2.6411 4.4181 4.4181 108.73 90.00 90.00
Positions (direct):
Zn (0.0000, 0.0000, 0.5000)
Zn (0.0000, 0.5000, 0.0000)
Mn (0.5000, 0.0000, 0.0000)
Co (0.5000, 0.5000, 0.5000)

Output
- Calculated total energy: -15.753 eV/atom
- DOS(E_F): 0.377 states/eV/atom
- Volume: 48.8 Å³/cell
- E_form: -41 kJ/mol of formula units

First-principles (SCAN) data for HgHIr2I at its PBEsol-relaxed geometry, as listed in the Alexandria database.

Lattice parameters (Å, degrees): 3.4005 4.9848 4.9848 90.00 90.00 90.00
Positions (direct):
I (0.0000, 0.0000, 0.0000)
H (0.5000, 0.0000, 0.0000)
Ir (0.0000, 0.0000, 0.5000)
Ir (0.0000, 0.5000, 0.0000)
Hg (0.5000, 0.5000, 0.5000)

Output
- Calculated total energy: -48.799 eV/atom
- DOS(E_F): 0.740 states/eV/atom
- Volume: 84.5 Å³/cell

First-principles (SCAN) data for LiLaFe2Hg at its PBEsol-relaxed geometry, as listed in the Alexandria database.

Lattice parameters (Å, degrees): 4.5227 4.9087 4.9087 90.00 90.00 90.00
Positions (direct):
Fe (0.0000, 0.0000, 0.5000)
Fe (0.0000, 0.5000, 0.0000)
Li (0.5000, 0.0000, 0.0000)
Hg (0.0000, 0.0000, 0.0000)
La (0.5000, 0.5000, 0.5000)

Output
- Calculated total energy: -29.649 eV/atom
- DOS(E_F): 0.542 states/eV/atom
- Volume: 109.0 Å³/cell
- E_form: 161 kJ/mol of formula units

First-principles (SCAN) data for Sb2S3O12 at its PBEsol-relaxed geometry, as listed in the Alexandria database.

Lattice parameters (Å, degrees): 9.3324 9.3324 9.7697 55.54 55.54 47.13
Positions (direct):
Sb (0.3723, 0.8815, 0.4219)
Sb (0.8815, 0.3723, 0.9219)
Sb (0.1185, 0.6277, 0.0781)
Sb (0.6277, 0.1185, 0.5781)
S (0.7822, 0.4576, 0.2687)
S (0.4576, 0.7822, 0.7687)
S (0.0965, 0.9035, 0.2500)
S (0.9035, 0.0965, 0.7500)
S (0.5424, 0.2178, 0.2313)
S (0.2178, 0.5424, 0.7313)
O (0.9039, 0.9405, 0.3969)
O (0.9405, 0.9039, 0.8969)
O (0.9855, 0.3170, 0.2863)
O (0.6765, 0.6456, 0.3115)
O (0.7820, 0.5313, 0.0869)
O (0.3170, 0.9855, 0.7863)
O (0.2593, 0.8329, 0.3045)
O (0.6482, 0.3688, 0.3855)
O (0.6456, 0.6765, 0.8115)
O (0.5313, 0.7820, 0.5869)
O (0.8329, 0.2593, 0.8045)
O (0.6312, 0.3518, 0.1145)
O (0.3688, 0.6482, 0.8855)
O (0.1671, 0.7407, 0.1955)
O (0.4687, 0.2180, 0.4131)
O (0.3544, 0.3235, 0.1885)
O (0.3518, 0.6312, 0.6145)
O (0.7407, 0.1671, 0.6955)
O (0.6830, 0.0145, 0.2137)
O (0.2180, 0.4687, 0.9131)
O (0.3235, 0.3544, 0.6885)
O (0.0145, 0.6830, 0.7137)
O (0.0595, 0.0961, 0.1031)
O (0.0961, 0.0595, 0.6031)

Output
- Calculated total energy: -11.924 eV/atom
- DOS(E_F): 0.000 states/eV/atom
- Volume: 490.6 Å³/cell
- Formation energy without anion corrections: -139.2 kJ per mole of atoms

First-principles (SCAN) data for Li3Mn3O3F5 at its PBEsol-relaxed geometry, as listed in the Alexandria database.

Lattice parameters (Å, degrees): 5.7462 6.0124 5.9537 118.80 90.00 118.55
Positions (direct):
Li (0.3885, 0.7770, 0.6409)
Li (0.7336, 0.4671, 0.2421)
Li (0.0102, 0.0205, 0.9862)
Mn (0.3752, 0.7503, 0.1265)
Mn (0.8657, 0.2510, 0.6361)
Mn (0.3852, 0.2510, 0.6361)
O (0.1483, 0.2966, 0.8578)
O (0.6019, 0.2038, 0.3927)
O (0.6190, 0.2379, 0.8411)
F (0.1264, 0.2527, 0.4013)
F (0.6157, 0.7411, 0.3829)
F (0.1254, 0.7411, 0.3829)
F (0.1348, 0.7547, 0.8617)
F (0.6200, 0.7547, 0.8617)

Output
- Calculated total energy: -9.683 eV/atom
- DOS(E_F): 0.176 states/eV/atom
- Volume: 151.1 Å³/cell
- Formation energy without anion corrections: -256.6 kJ per mole of atoms

First-principles (SCAN) data for NbH3I at its PBEsol-relaxed geometry, as listed in the Alexandria database.

Lattice parameters (Å, degrees): 3.8353 3.8353 3.8353 90.00 90.00 90.00
Positions (direct):
I (0.5000, 0.5000, 0.5000)
H (0.0000, 0.5000, 0.0000)
H (0.0000, 0.0000, 0.5000)
H (0.5000, 0.0000, 0.0000)
Nb (0.0000, 0.0000, 0.0000)

Output
- Calculated total energy: -15.578 eV/atom
- DOS(E_F): 0.247 states/eV/atom
- Volume: 56.4 Å³/cell

First-principles (SCAN) data for CaY2NbMo at its PBEsol-relaxed geometry, as listed in the Alexandria database.

Lattice parameters (Å, degrees): 4.6549 5.2346 5.2346 90.00 90.00 90.00
Positions (direct):
Y (0.0000, 0.0000, 0.5000)
Y (0.0000, 0.5000, 0.0000)
Mo (0.5000, 0.5000, 0.5000)
Ca (0.0000, 0.0000, 0.0000)
Nb (0.5000, 0.0000, 0.0000)

Output
- Calculated total energy: -24.756 eV/atom
- DOS(E_F): 1.127 states/eV/atom
- Volume: 127.6 Å³/cell
- E_form: 925 kJ/mol of formula units

First-principles (SCAN) data for DyAlPd at its PBEsol-relaxed geometry, as listed in the Alexandria database.

Lattice parameters (Å, degrees): 4.3836 6.8318 7.6863 90.00 90.00 90.00
Positions (direct):
Al (0.7500, 0.8562, 0.9370)
Al (0.7500, 0.3562, 0.5630)
Al (0.2500, 0.1438, 0.0630)
Al (0.2500, 0.6438, 0.4370)
Pd (0.7500, 0.7291, 0.6172)
Pd (0.7500, 0.2291, 0.8828)
Pd (0.2500, 0.2709, 0.3828)
Pd (0.2500, 0.7709, 0.1172)
Dy (0.7500, 0.9675, 0.3204)
Dy (0.7500, 0.4675, 0.1796)
Dy (0.2500, 0.0325, 0.6796)
Dy (0.2500, 0.5325, 0.8204)

Output
- Calculated total energy: -30.458 eV/atom
- DOS(E_F): 0.432 states/eV/atom
- Volume: 230.2 Å³/cell
- E_form: -294 kJ/mol of formula units